ZnRhSe after structural relaxation. Source: Alexandria via LeMat-Bulk, functional PBE.

The calculation puts the total DFT energy (no corrections) at -47.0 eV per cell. For the density, the calculation gives 7.6 g cm⁻³. The total magnetization is 0.0000 μB per atom. The offset from the most stable computed form comes out at 307 meV/atom. The calculation puts the raw formation energy at 0.37 eV per formula unit.

It has space group F-43m (No. 216), with a = 6.002 Å, b = 6.002 Å, c = 6.002 Å, α = 90.00°, β = 90.00° and γ = 90.00°. The inequivalent atoms are Zn at (0.000, 0.000, 0.000), Rh at (0.000, 0.000, 0.500) and Se at (0.250, 0.250, 0.250).